Entry 1:
CsTlRuI6: relaxed, PBE.

```
CsTlRuI6
1.0
7.6927 0.0000 0.0000
-3.8464 6.6621 0.0000
0.0000 0.0000 8.5583
Cs Tl Ru I
1 1 1 6
direct
0.0000 0.0000 0.0000
0.6667 0.3333 0.5000
0.3333 0.6667 0.5000
0.0438 0.3823 0.3169
0.0438 0.6616 0.6831
0.3384 0.3823 0.6831
0.3384 0.9562 0.3169
0.6177 0.6616 0.3169
0.6177 0.9562 0.6831
```

uncorrected formation energy: -0.476 eV per atom
spin magnetization: 0.00 μB per formula unit

***

Entry 2:
Cs2ZnRuI6: relaxed, PBE.

```
Cs2ZnRuI6
1.0
-4.1917 4.1917 5.5660
4.1917 -4.1917 5.5660
4.1917 4.1917 -5.5660
Cs Zn Ru I
2 1 1 6
direct
0.2500 0.7500 0.5000
0.7500 0.2500 0.5000
0.0000 0.0000 0.0000
0.5000 0.5000 0.0000
0.2451 0.2451 0.0000
0.2688 0.2688 0.5375
0.2688 0.7312 0.0000
0.7312 0.2688 0.0000
0.7312 0.7312 0.4625
0.7549 0.7549 0.0000
```

uncorrected formation energy: -0.619 eV per atom
spin magnetization: 1.33 μB per formula unit

***

Entry 3:
Cs2SI: relaxed, PBE.

```
Cs2SI
1.0
4.4388 0.0000 0.0000
0.0000 4.4388 0.0000
0.0000 0.0000 9.0445
Cs S I
2 1 1
direct
0.0000 0.0000 0.2361
0.0000 0.0000 0.7639
0.5000 0.5000 0.0000
0.5000 0.5000 0.5000
```

polymorph energy (0 for the lowest one): 19 meV per atom
uncorrected formation energy: -0.933 eV per atom
spin magnetization: 1.02 μB per formula unit

***

Entry 4:
Cs2SI: relaxed, PBE.

```
Cs2SI
1.0
8.0659 0.0000 0.0000
0.0000 8.0659 0.0000
0.0000 0.0000 17.7080
Cs S I
8 4 4
direct
0.2113 0.2500 0.1250
0.2500 0.7113 0.3750
0.2500 0.7887 0.8750
0.2887 0.2500 0.6250
0.7113 0.7500 0.6250
0.7500 0.2113 0.8750
0.7500 0.2887 0.3750
0.7887 0.7500 0.1250
0.0000 0.0000 0.0000
0.0000 0.5000 0.2500
0.5000 0.0000 0.7500
0.5000 0.5000 0.5000
0.0000 0.0000 0.5000
0.0000 0.5000 0.7500
0.5000 0.0000 0.2500
0.5000 0.5000 0.0000
```

polymorph energy (0 for the lowest one): 99 meV per atom
uncorrected formation energy: -0.853 eV per atom
spin magnetization: 1.00 μB per formula unit

***

Entry 5:
CsS5I: relaxed, PBE.

```
CsS5I
1.0
3.7738 -6.4573 0.0000
3.7738 6.4573 0.0000
-2.2653 0.0000 13.3875
Cs S I
2 10 2
direct
0.1680 0.8320 0.7500
0.8320 0.1680 0.2500
0.0485 0.3348 0.6181
0.1990 0.3501 0.7524
0.3348 0.0485 0.1181
0.3501 0.1990 0.2524
0.4819 0.5181 0.2500
0.5181 0.4819 0.7500
0.6499 0.8010 0.7476
0.6652 0.9515 0.8819
0.8010 0.6499 0.2476
0.9515 0.6652 0.3819
0.0000 0.0000 0.0000
0.0000 0.0000 0.5000
```

uncorrected formation energy: -0.327 eV per atom
spin magnetization: 0.00 μB per formula unit

***

Entry 6:
Cs2SI: relaxed, PBE.

```
Cs2SI
1.0
8.9857 0.0000 0.0000
0.0000 8.9857 0.0000
0.0000 0.0000 8.9857
Cs S I
8 4 4
direct
0.2500 0.2500 0.2500
0.2500 0.2500 0.7500
0.2500 0.7500 0.2500
0.2500 0.7500 0.7500
0.7500 0.2500 0.2500
0.7500 0.2500 0.7500
0.7500 0.7500 0.2500
0.7500 0.7500 0.7500
0.0000 0.0000 0.0000
0.0000 0.5000 0.5000
0.5000 0.0000 0.5000
0.5000 0.5000 0.0000
0.0000 0.0000 0.5000
0.0000 0.5000 0.0000
0.5000 0.0000 0.0000
0.5000 0.5000 0.5000
```

polymorph energy (0 for the lowest one): 59 meV per atom
uncorrected formation energy: -0.892 eV per atom
spin magnetization: 1.00 μB per formula unit

***

Question: Among the records above, which one has the highest spin magnetization?
Answer: Cs2ZnRuI6

***

Question: The lowest uncorrected formation energy belongs to which entry?
Answer: number 3

***

Copy entry 1 word for word.
CsTlRuI6: relaxed, PBE.

```
CsTlRuI6
1.0
7.6927 0.0000 0.0000
-3.8464 6.6621 0.0000
0.0000 0.0000 8.5583
Cs Tl Ru I
1 1 1 6
direct
0.0000 0.0000 0.0000
0.6667 0.3333 0.5000
0.3333 0.6667 0.5000
0.0438 0.3823 0.3169
0.0438 0.6616 0.6831
0.3384 0.3823 0.6831
0.3384 0.9562 0.3169
0.6177 0.6616 0.3169
0.6177 0.9562 0.6831
```

uncorrected formation energy: -0.476 eV per atom
spin magnetization: 0.00 μB per formula unit